Record 1
CaLu2Hf after structural relaxation. Source: Alexandria via LeMat-Bulk, functional PBE-GGA.

Computed properties:
Formation enthalpy at 0 K, kJ/mol of atoms: 12.51
Total moment, μB per formula unit: 0.0
ΔE to the lowest computed polymorph, eV/f.u.: 0.00

Cell: 3.4162 3.4162 10.1954 Å, 90.00 90.00 90.00°
Last column: nearest neighbours and their distance in Å.
Fractional positions:
1 Ca 0.0000 0.0000 0.0000  4 Ca 3.42, 8 Lu 3.80
2 Lu 0.5000 0.5000 0.2880  4 Hf 3.24, 4 Lu 3.42
3 Lu 0.5000 0.5000 0.7120  4 Hf 3.24, 4 Lu 3.42
4 Hf 0.0000 0.0000 0.5000  8 Lu 3.24, 4 Hf 3.42

Record 2
CaHf2Mg after structural relaxation. Source: Alexandria via LeMat-Bulk, functional PBE-GGA.

Computed properties:
Formation enthalpy at 0 K, kJ/mol of atoms: 53.41
Total moment, μB per formula unit: 0.0
ΔE to the lowest computed polymorph, eV/f.u.: 0.00

Cell: 5.1601 5.1601 5.1601 Å, 60.00 60.00 60.00°
Last column: nearest neighbours and their distance in Å.
Fractional positions:
1 Ca 0.0000 0.0000 0.0000  8 Hf 3.16
2 Hf 0.2500 0.2500 0.2500  4 Ca 3.16, 4 Mg 3.16
3 Hf 0.7500 0.7500 0.7500  4 Mg 3.16, 4 Ca 3.16
4 Mg 0.5000 0.5000 0.5000  8 Hf 3.16

Look up the ΔE to the lowest computed polymorph of the second one.
0.00 eV/f.u.